VASP calculation (PBE-GGA) on crystalline Cs3Tl2AgBr9 at its relaxed geometry.

a = 8.0706 Å, b = 8.0706 Å, c = 9.8999 Å
α = 90.00°, β = 90.00°, γ = 120.00°
Closest atoms and distances in Å follow each position.
Fractional coordinates of all 15 atoms:
Br (0.1624, 0.8376, 0.3354)  1 Ag 2.79, 1 Tl 2.85
Br (0.6753, 0.8376, 0.3354)  1 Ag 2.79, 1 Tl 2.85
Br (0.8376, 0.1624, 0.6646)  1 Ag 2.79, 1 Tl 2.85
Br (0.5000, 0.0000, 0.0000)  2 Tl 2.92
Br (0.5000, 0.5000, 0.0000)  2 Tl 2.92
Br (0.8376, 0.6753, 0.6646)  1 Ag 2.79, 1 Tl 2.85
Br (0.3247, 0.1624, 0.6646)  1 Ag 2.79, 1 Tl 2.85
Br (0.0000, 0.5000, 0.0000)  2 Tl 2.92
Br (0.1624, 0.3247, 0.3354)  1 Ag 2.79, 1 Tl 2.85
Tl (0.3333, 0.6667, 0.1783)  6 Br 2.85-2.92
Tl (0.6667, 0.3333, 0.8217)  6 Br 2.85-2.92
Ag (0.0000, 0.0000, 0.5000)  6 Br 2.79
Cs (0.3333, 0.6667, 0.6622)  12 Br 4.02-4.08
Cs (0.6667, 0.3333, 0.3378)  12 Br 4.02-4.08
Cs (0.0000, 0.0000, 0.0000)  12 Br 4.02-4.04

Computed properties:
D(E_F)   1.21 states/eV/f.u.
Electronic total energy   -41.1 eV/cell
Space group   P-3m1, No. 164
Magnetic moment   0.00 μB per formula unit